--- 1 ---
First-principles (GGA-PBE) data for a relaxed Nd4Dy4Er3 crystal, as listed in Alexandria via LeMat-Bulk.

The structure in CIF format:
```
data_Nd4Dy4Er3
_chemical_formula_sum 'Nd8 Dy8 Er6'
_space_group_name_H-M_alt 'I m m m'
_space_group_IT_number 71
_space_group_name_Hall '-I 2 2'
_cell_length_a 3.6117
_cell_length_b 9.4131
_cell_length_c 21.7063
_cell_angle_alpha 90.00
_cell_angle_beta 90.00
_cell_angle_gamma 90.00
loop_
_atom_site_label
_atom_site_type_symbol
_atom_site_fract_x
_atom_site_fract_y
_atom_site_fract_z
Nd1 Nd 0.0000 0.1782 0.1441
Dy1 Dy 0.0000 0.3173 0.0000
Dy2 Dy 0.0000 0.5000 0.2391
Er1 Er 0.0000 0.0000 0.3932
Er2 Er 0.0000 0.5000 0.5000
```

Results
- total magnetic moment (μB per formula unit) = 0.0

--- 2 ---
First-principles (GGA-PBE) data for a relaxed Nd4Dy4Er3 crystal, as listed in Alexandria via LeMat-Bulk.

The structure in CIF format:
```
data_Nd4Dy4Er3
_chemical_formula_sum 'Nd4 Dy4 Er3'
_space_group_name_H-M_alt 'P -1'
_space_group_IT_number 2
_cell_length_a 3.5310
_cell_length_b 5.6680
_cell_length_c 18.1268
_cell_angle_alpha 98.99
_cell_angle_beta 95.58
_cell_angle_gamma 90.01
loop_
_space_group_symop_operation_xyz
'x,y,z'
'-x,-y,-z'
loop_
_atom_site_label
_atom_site_type_symbol
_atom_site_fract_x
_atom_site_fract_y
_atom_site_fract_z
Nd1 Nd 0.0901 0.0905 0.1806
Nd2 Nd 0.2318 0.7317 0.4633
Dy1 Dy 0.0450 0.5456 0.0908
Dy2 Dy 0.1801 0.1803 0.3607
Er1 Er 0.3650 0.3644 0.7291
Er2 Er 0.5000 0.0000 0.0000
```

Results
- total magnetic moment (μB per formula unit) = 0.0

Going by the energies, 2 is most stable and the next is 59 meV/atom up.

--- 1 ---
First-principles (GGA-PBE) data for a relaxed Nd5Dy2Er3 crystal, as listed in Alexandria via LeMat-Bulk.

The structure in CIF format:
```
data_Nd5Dy2Er3
_chemical_formula_sum 'Nd20 Dy8 Er12'
_space_group_name_H-M_alt 'I b a m'
_space_group_IT_number 72
_space_group_name_Hall '-I 2 2c'
_cell_length_a 9.4255
_cell_length_b 13.6632
_cell_length_c 10.9613
_cell_angle_alpha 90.00
_cell_angle_beta 90.00
_cell_angle_gamma 90.00
loop_
_atom_site_label
_atom_site_type_symbol
_atom_site_fract_x
_atom_site_fract_y
_atom_site_fract_z
Nd1 Nd 0.0000 0.0000 0.2500
Nd2 Nd 0.0000 0.2534 0.2500
Nd3 Nd 0.1037 0.1286 0.0000
Dy1 Dy 0.0883 0.3808 0.5000
Er1 Er 0.0000 0.5000 0.2500
Er2 Er 0.2488 0.1236 0.5000
```

Results
- total magnetic moment (μB per formula unit) = 0.0

--- 2 ---
First-principles (GGA-PBE) data for a relaxed Nd5Dy2Er3 crystal, as listed in Alexandria via LeMat-Bulk.

The structure in CIF format:
```
data_Nd5Dy2Er3
_chemical_formula_sum 'Nd20 Dy8 Er12'
_space_group_name_H-M_alt 'C 1 2/c 1'
_space_group_IT_number 15
_cell_length_a 10.7073
_cell_length_b 14.8921
_cell_length_c 10.0208
_cell_angle_alpha 90.00
_cell_angle_beta 122.28
_cell_angle_gamma 90.00
loop_
_space_group_symop_operation_xyz
'x,y,z'
'-x,-y,-z'
'-x,y,-z+1/2'
'x,-y,z+1/2'
'x+1/2,y+1/2,z'
'-x+1/2,-y+1/2,-z'
'-x+1/2,y+1/2,-z+1/2'
'x+1/2,-y+1/2,z+1/2'
loop_
_atom_site_label
_atom_site_type_symbol
_atom_site_fract_x
_atom_site_fract_y
_atom_site_fract_z
Nd1 Nd 0.0000 0.0193 0.2500
Nd2 Nd 0.0000 0.2288 0.2500
Nd3 Nd 0.0000 0.4788 0.7500
Nd4 Nd 0.2472 0.3699 0.2431
Dy1 Dy 0.1522 0.1288 0.0571
Er1 Er 0.0000 0.2729 0.7500
Er2 Er 0.1543 0.3744 0.5574
```

Results
- total magnetic moment (μB per formula unit) = 0.0

Going by the energies, 2 is most stable and the next is 194 meV/atom up.

--- 1 ---
First-principles (GGA-PBE) data for a relaxed NdDyEr5 crystal, as listed in Alexandria via LeMat-Bulk.

The structure in CIF format:
```
data_NdDyEr5
_chemical_formula_sum 'Nd4 Dy4 Er20'
_space_group_name_H-M_alt 'C 1 2/c 1'
_space_group_IT_number 15
_cell_length_a 11.5900
_cell_length_b 6.7637
_cell_length_c 12.0721
_cell_angle_alpha 90.00
_cell_angle_beta 109.70
_cell_angle_gamma 90.00
loop_
_space_group_symop_operation_xyz
'x,y,z'
'-x,-y,-z'
'-x,y,-z+1/2'
'x,-y,z+1/2'
'x+1/2,y+1/2,z'
'-x+1/2,-y+1/2,-z'
'-x+1/2,y+1/2,-z+1/2'
'x+1/2,-y+1/2,z+1/2'
loop_
_atom_site_label
_atom_site_type_symbol
_atom_site_fract_x
_atom_site_fract_y
_atom_site_fract_z
Nd1 Nd 0.0000 0.0267 0.2500
Dy1 Dy 0.2500 0.2500 0.0000
Er1 Er 0.0000 0.4101 0.7500
Er2 Er 0.0788 0.2747 0.4993
Er3 Er 0.2200 0.3622 0.2494
```

Results
- total magnetic moment (μB per formula unit) = 0.0

--- 2 ---
First-principles (GGA-PBE) data for a relaxed NdDyEr5 crystal, as listed in Alexandria via LeMat-Bulk.

The structure in CIF format:
```
data_NdDyEr5
_chemical_formula_sum 'Nd2 Dy2 Er10'
_space_group_name_H-M_alt 'I m m 2'
_space_group_IT_number 44
_cell_length_a 7.9798
_cell_length_b 11.6536
_cell_length_c 6.1401
_cell_angle_alpha 90.00
_cell_angle_beta 90.00
_cell_angle_gamma 90.00
loop_
_space_group_symop_operation_xyz
'x,y,z'
'-x,-y,z'
'-x,y,z'
'x,-y,z'
'x+1/2,y+1/2,z+1/2'
'-x+1/2,-y+1/2,z+1/2'
'-x+1/2,y+1/2,z+1/2'
'x+1/2,-y+1/2,z+1/2'
loop_
_atom_site_label
_atom_site_type_symbol
_atom_site_fract_x
_atom_site_fract_y
_atom_site_fract_z
Nd1 Nd 0.0000 0.0000 0.0000
Dy1 Dy 0.0000 0.5000 0.7417
Er1 Er 0.0000 0.0000 0.4724
Er2 Er 0.0000 0.2437 0.7322
Er3 Er 0.1794 0.5000 0.2379
```

Results
- total magnetic moment (μB per formula unit) = 0.0

Going by the energies, 1 is most stable and the next is 807 meV/atom up.

--- 1 ---
First-principles (GGA-PBE) data for a relaxed Nd7DyEr3 crystal, as listed in Alexandria via LeMat-Bulk.

The structure in CIF format:
```
data_Nd7DyEr3
_chemical_formula_sum 'Nd14 Dy2 Er6'
_space_group_name_H-M_alt 'C 1 2/m 1'
_space_group_IT_number 12
_cell_length_a 12.7939
_cell_length_b 11.3942
_cell_length_c 5.9023
_cell_angle_alpha 90.00
_cell_angle_beta 117.44
_cell_angle_gamma 90.00
loop_
_space_group_symop_operation_xyz
'x,y,z'
'-x,-y,-z'
'-x,y,-z'
'x,-y,z'
'x+1/2,y+1/2,z'
'-x+1/2,-y+1/2,-z'
'-x+1/2,y+1/2,-z'
'x+1/2,-y+1/2,z'
loop_
_atom_site_label
_atom_site_type_symbol
_atom_site_fract_x
_atom_site_fract_y
_atom_site_fract_z
Nd1 Nd 0.0000 0.0000 0.0000
Nd2 Nd 0.1923 0.2894 0.6922
Nd3 Nd 0.2086 0.5000 0.2076
Dy1 Dy 0.0000 0.0000 0.5000
Er1 Er 0.0000 0.2957 0.0000
Er2 Er 0.0000 0.5000 0.5000
```

Results
- total magnetic moment (μB per formula unit) = 0.0

--- 2 ---
First-principles (GGA-PBE) data for a relaxed Nd7DyEr3 crystal, as listed in Alexandria via LeMat-Bulk.

The structure in CIF format:
```
data_Nd7DyEr3
_chemical_formula_sum 'Nd14 Dy2 Er6'
_space_group_name_H-M_alt 'C 1 2/m 1'
_space_group_IT_number 12
_cell_length_a 7.1158
_cell_length_b 18.5715
_cell_length_c 6.7410
_cell_angle_alpha 90.00
_cell_angle_beta 121.85
_cell_angle_gamma 90.00
loop_
_space_group_symop_operation_xyz
'x,y,z'
'-x,-y,-z'
'-x,y,-z'
'x,-y,z'
'x+1/2,y+1/2,z'
'-x+1/2,-y+1/2,-z'
'-x+1/2,y+1/2,-z'
'x+1/2,-y+1/2,z'
loop_
_atom_site_label
_atom_site_type_symbol
_atom_site_fract_x
_atom_site_fract_y
_atom_site_fract_z
Nd1 Nd 0.0000 0.0000 0.0000
Nd2 Nd 0.0000 0.4127 0.0000
Nd3 Nd 0.2203 0.1623 0.4403
Dy1 Dy 0.0000 0.0000 0.5000
Er1 Er 0.0000 0.5000 0.5000
Er2 Er 0.2500 0.2500 0.0000
```

Results
- total magnetic moment (μB per formula unit) = 0.0

Going by the energies, 2 is most stable and the next is 92 meV/atom up.

--- 1 ---
First-principles (GGA-PBE) data for a relaxed Nd5DyEr2 crystal, as listed in Alexandria via LeMat-Bulk.

The structure in CIF format:
```
data_Nd5DyEr2
_chemical_formula_sum 'Nd20 Dy4 Er8'
_space_group_name_H-M_alt 'I 4/m c m'
_space_group_IT_number 140
_space_group_name_Hall '-I 4 2c'
_cell_length_a 9.2459
_cell_length_b 9.2459
_cell_length_c 12.6837
_cell_angle_alpha 90.00
_cell_angle_beta 90.00
_cell_angle_gamma 90.00
loop_
_atom_site_label
_atom_site_type_symbol
_atom_site_fract_x
_atom_site_fract_y
_atom_site_fract_z
Nd1 Nd 0.0000 0.0000 0.0000
Nd2 Nd 0.1501 0.3499 0.1637
Dy1 Dy 0.0000 0.0000 0.2500
Er1 Er 0.1456 0.3544 0.5000
```

Results
- total magnetic moment (μB per formula unit) = 0.4

--- 2 ---
First-principles (GGA-PBE) data for a relaxed Nd5DyEr2 crystal, as listed in Alexandria via LeMat-Bulk.

The structure in CIF format:
```
data_Nd5DyEr2
_chemical_formula_sum 'Nd20 Dy4 Er8'
_space_group_name_H-M_alt 'C 1 2/c 1'
_space_group_IT_number 15
_cell_length_a 14.6381
_cell_length_b 12.1272
_cell_length_c 6.7104
_cell_angle_alpha 90.00
_cell_angle_beta 114.03
_cell_angle_gamma 90.00
loop_
_space_group_symop_operation_xyz
'x,y,z'
'-x,-y,-z'
'-x,y,-z+1/2'
'x,-y,z+1/2'
'x+1/2,y+1/2,z'
'-x+1/2,-y+1/2,-z'
'-x+1/2,y+1/2,-z+1/2'
'x+1/2,-y+1/2,z+1/2'
loop_
_atom_site_label
_atom_site_type_symbol
_atom_site_fract_x
_atom_site_fract_y
_atom_site_fract_z
Nd1 Nd 0.0000 0.2407 0.2500
Nd2 Nd 0.1267 0.2392 0.8844
Nd3 Nd 0.2392 0.4874 0.2141
Dy1 Dy 0.0000 0.4886 0.7500
Er1 Er 0.0000 0.0000 0.0000
Er2 Er 0.2500 0.2500 0.5000
```

Results
- total magnetic moment (μB per formula unit) = 0.0

Going by the energies, 1 is most stable and the next is 97 meV/atom up.

--- 1 ---
First-principles (GGA-PBE) data for a relaxed NdDyEr2 crystal, as listed in Alexandria via LeMat-Bulk.

The structure in CIF format:
```
data_NdDyEr2
_chemical_formula_sum 'Nd1 Dy1 Er2'
_space_group_name_H-M_alt 'P 4/m m m'
_space_group_IT_number 123
_space_group_name_Hall '-P 4 2'
_cell_length_a 3.5610
_cell_length_b 3.5610
_cell_length_c 10.0562
_cell_angle_alpha 90.00
_cell_angle_beta 90.00
_cell_angle_gamma 90.00
loop_
_atom_site_label
_atom_site_type_symbol
_atom_site_fract_x
_atom_site_fract_y
_atom_site_fract_z
Nd1 Nd 0.0000 0.0000 0.0000
Dy1 Dy 0.0000 0.0000 0.5000
Er1 Er 0.5000 0.5000 0.2546
```

Results
- total magnetic moment (μB per formula unit) = 0.0

--- 2 ---
First-principles (GGA-PBE) data for a relaxed NdDyEr2 crystal, as listed in Alexandria via LeMat-Bulk.

The structure in CIF format:
```
data_NdDyEr2
_chemical_formula_sum 'Nd1 Dy1 Er2'
_space_group_name_H-M_alt 'P -3 m 1'
_space_group_IT_number 164
_space_group_name_Hall '-P 3 2"'
_cell_length_a 3.5734
_cell_length_b 3.5734
_cell_length_c 11.4712
_cell_angle_alpha 90.00
_cell_angle_beta 90.00
_cell_angle_gamma 120.00
loop_
_atom_site_label
_atom_site_type_symbol
_atom_site_fract_x
_atom_site_fract_y
_atom_site_fract_z
Nd1 Nd 0.0000 0.0000 0.0000
Dy1 Dy 0.0000 0.0000 0.5000
Er1 Er 0.3333 0.6667 0.7470
```

Results
- total magnetic moment (μB per formula unit) = 0.0

Going by the energies, 2 is most stable and the next is 24 meV/atom up.

--- 1 ---
First-principles (GGA-PBE) data for a relaxed NdDyEr2 crystal, as listed in Alexandria via LeMat-Bulk.

The structure in CIF format:
```
data_NdDyEr2
_chemical_formula_sum 'Nd1 Dy1 Er2'
_space_group_name_H-M_alt 'P 4/m m m'
_space_group_IT_number 123
_space_group_name_Hall '-P 4 2'
_cell_length_a 5.0384
_cell_length_b 5.0384
_cell_length_c 5.0170
_cell_angle_alpha 90.00
_cell_angle_beta 90.00
_cell_angle_gamma 90.00
loop_
_atom_site_label
_atom_site_type_symbol
_atom_site_fract_x
_atom_site_fract_y
_atom_site_fract_z
Nd1 Nd 0.0000 0.0000 0.0000
Dy1 Dy 0.5000 0.5000 0.0000
Er1 Er 0.0000 0.5000 0.5000
```

Results
- total magnetic moment (μB per formula unit) = 0.0

--- 2 ---
First-principles (GGA-PBE) data for a relaxed NdDyEr2 crystal, as listed in Alexandria via LeMat-Bulk.

The structure in CIF format:
```
data_NdDyEr2
_chemical_formula_sum 'Nd4 Dy4 Er8'
_space_group_name_H-M_alt 'F m -3 m'
_space_group_IT_number 225
_space_group_name_Hall '-F 4 2 3'
_cell_length_a 8.0232
_cell_length_b 8.0232
_cell_length_c 8.0232
_cell_angle_alpha 90.00
_cell_angle_beta 90.00
_cell_angle_gamma 90.00
loop_
_atom_site_label
_atom_site_type_symbol
_atom_site_fract_x
_atom_site_fract_y
_atom_site_fract_z
Nd1 Nd 0.0000 0.0000 0.0000
Dy1 Dy 0.0000 0.0000 0.5000
Er1 Er 0.2500 0.2500 0.2500
```

Results
- total magnetic moment (μB per formula unit) = 0.0

Going by the energies, 1 is most stable and the next is 99 meV/atom up.

--- 1 ---
First-principles (GGA-PBE) data for a relaxed NdDyEr2 crystal, as listed in Alexandria via LeMat-Bulk.

The structure in CIF format:
```
data_NdDyEr2
_chemical_formula_sum 'Nd3 Dy3 Er6'
_space_group_name_H-M_alt 'R -3 m'
_space_group_IT_number 166
_space_group_name_Hall '-R 3 2"'
_cell_length_a 3.5616
_cell_length_b 3.5616
_cell_length_c 34.6812
_cell_angle_alpha 90.00
_cell_angle_beta 90.00
_cell_angle_gamma 120.00
loop_
_atom_site_label
_atom_site_type_symbol
_atom_site_fract_x
_atom_site_fract_y
_atom_site_fract_z
Nd1 Nd 0.0000 0.0000 0.0000
Dy1 Dy 0.0000 0.0000 0.5000
Er1 Er 0.0000 0.0000 0.2488
```

Results
- total magnetic moment (μB per formula unit) = 0.0

--- 2 ---
First-principles (GGA-PBE) data for a relaxed NdDyEr2 crystal, as listed in Alexandria via LeMat-Bulk.

The structure in CIF format:
```
data_NdDyEr2
_chemical_formula_sum 'Nd4 Dy4 Er8'
_space_group_name_H-M_alt 'P 1 2/c 1'
_space_group_IT_number 13
_cell_length_a 6.2821
_cell_length_b 7.2573
_cell_length_c 11.3363
_cell_angle_alpha 90.00
_cell_angle_beta 90.04
_cell_angle_gamma 90.00
loop_
_space_group_symop_operation_xyz
'x,y,z'
'-x,-y,-z'
'-x,y,-z+1/2'
'x,-y,z+1/2'
loop_
_atom_site_label
_atom_site_type_symbol
_atom_site_fract_x
_atom_site_fract_y
_atom_site_fract_z
Nd1 Nd 0.1671 0.2502 0.3774
Dy1 Dy 0.3343 0.0006 0.6254
Er1 Er 0.1682 0.2511 0.8732
Er2 Er 0.3343 0.5004 0.1254
```

Results
- total magnetic moment (μB per formula unit) = 0.0

Going by the energies, 2 is most stable and the next is 9 meV/atom up.